1.
{"formula": "LuSiAsO", "functional": "PBE", "state": "relaxed", "e_above_lowest_polymorph_mev_per_atom": 603.7, "mass_density_g_cm3": 7.02, "crystal_system": "tetragonal", "lattice_angstrom": [[5.415, 0.000, 0.000], [0.000, 5.415, 0.000], [0.000, 0.000, 4.745]], "species": ["As", "As", "Lu", "Lu", "O", "O", "Si", "Si"], "fractional_positions": [[0.750, 0.750, 0.499], [0.250, 0.250, 0.501], [0.750, 0.250, 0.500], [0.250, 0.750, 0.500], [0.750, 0.250, 0.000], [0.250, 0.750, 0.000], [0.250, 0.250, 0.001], [0.750, 0.750, 0.999]]}

2.
{"formula": "TbDy2In3CuAu2", "functional": "PBE", "state": "relaxed", "mass_density_g_cm3": 10.51, "total_energy_ev_per_fu": -38.32, "crystal_system": "orthorhombic", "lattice_angstrom": [[3.874, 0.000, 0.000], [0.000, 6.743, 3.889], [0.000, -6.743, 3.889]], "species": ["Au", "Au", "Cu", "Dy", "Dy", "In", "In", "In", "Tb"], "fractional_positions": [[0.500, 0.667, 0.333], [0.500, 0.333, 0.667], [0.000, 0.000, 0.000], [0.000, 0.597, 0.000], [0.000, 0.000, 0.597], [0.500, 0.000, 0.250], [0.500, 0.750, 0.750], [0.500, 0.250, 0.000], [0.000, 0.403, 0.403]]}